[1]
Computed, not measured: Tb4NdDy after structural relaxation at the GGA-PBE level of DFT.

* M_tot: 0.0 μB/cell
* relative energy among the computed polymorphs: 0 meV/atom

Unit cell a=5.051 b=6.197 c=7.157 alpha=106.79 beta=90.06 gamma=113.99
Space group P-1 (No. 2)
One atom of each set of equivalent atoms:
Tb  0.166  0.332  0.332 [2 per cell]
Tb  0.168  0.336  0.835 [2 per cell]
Nd  0.500  0.000  0.500 [1 per cell]
Dy  0.500  0.000  0.000 [1 per cell]

[2]
Computed, not measured: Tb4Nd6Dy after structural relaxation at the GGA-PBE level of DFT.

* M_tot: 0.0 μB/cell
* relative energy among the computed polymorphs: 11 meV/atom

Unit cell a=6.769 b=6.769 c=16.801 alpha=90.00 beta=90.00 gamma=90.00
Space group I-42m (No. 121)
One atom of each set of equivalent atoms:
Tb  0.177  0.177  0.380 [8 per cell]
Nd  0.000  0.500  0.000 [4 per cell]
Nd  0.190  0.190  0.177 [8 per cell]
Dy  0.000  0.000  0.000 [2 per cell]

[3]
Computed, not measured: Tb6Nd6Dy after structural relaxation at the GGA-PBE level of DFT.

* M_tot: 0.0 μB/cell
* total DFT energy (no corrections): -4.418 eV/atom

Unit cell a=6.7503 b=6.7503 c=11.4480 alpha=90.00 beta=90.00 gamma=120.00
Space group P6/mmm (No. 191)
One atom of each set of equivalent atoms:
Tb  0.0000  0.5000  0.2477 [6 per cell]
Nd  0.0000  0.0000  0.3457 [2 per cell]
Nd  0.3333  0.6667  0.0000 [2 per cell]
Nd  0.3333  0.6667  0.5000 [2 per cell]
Dy  0.0000  0.0000  0.0000 [1 per cell]

[4]
Computed, not measured: TbNd8Dy6 after structural relaxation at the GGA-PBE level of DFT.

* M_tot: 0.0 μB/cell
* relative energy among the computed polymorphs: 0 meV/atom

Unit cell a=9.1595 b=9.1595 c=20.9526 alpha=90.00 beta=90.00 gamma=120.00
Space group R-3 (No. 148, hexagonal axes)
One atom of each set of equivalent atoms:
Tb  0.0000  0.0000  0.0000 [3 per cell]
Nd  0.0000  0.0000  0.4222 [6 per cell]
Nd  0.0808  0.5237  0.8066 [18 per cell]
Dy  0.0477  0.8029  0.7057 [18 per cell]

[5]
Computed, not measured: Tb5Nd2Dy12 after structural relaxation at the GGA-PBE level of DFT.

* M_tot: 0.0 μB/cell
* relative energy among the computed polymorphs: 0 meV/atom

Unit cell a=6.767 b=9.000 c=11.475 alpha=98.47 beta=105.21 gamma=109.54
Space group P-1 (No. 2)
One atom of each set of equivalent atoms:
Tb  0.000  0.000  0.000 [1 per cell]
Tb  0.108  0.847  0.480 [2 per cell]
Tb  0.359  0.793  0.948 [2 per cell]
Nd  0.478  0.267  0.584 [2 per cell]
Dy  0.008  0.625  0.151 [2 per cell]
Dy  0.155  0.322  0.303 [2 per cell]
Dy  0.199  0.081  0.774 [2 per cell]
Dy  0.250  0.565  0.626 [2 per cell]
Dy  0.385  0.027  0.274 [2 per cell]
Dy  0.429  0.496  0.122 [2 per cell]

[6]
Computed, not measured: Tb2Nd6Dy after structural relaxation at the GGA-PBE level of DFT.

* M_tot: 0.0 μB/cell
* relative energy among the computed polymorphs: 0 meV/atom

Unit cell a=16.540 b=11.856 c=6.266 alpha=90.00 beta=96.05 gamma=90.00
Space group C2/c (No. 15)
One atom of each set of equivalent atoms:
Tb  0.167  0.099  0.083 [8 per cell]
Nd  0.047  0.140  0.514 [8 per cell]
Nd  0.119  0.359  0.820 [8 per cell]
Nd  0.214  0.360  0.347 [8 per cell]
Dy  0.000  0.401  0.250 [4 per cell]

[7]
Computed, not measured: Tb2NdDy3 after structural relaxation at the GGA-PBE level of DFT.

* M_tot: 0.0 μB/cell
* relative energy among the computed polymorphs: 49 meV/atom

Unit cell a=8.987 b=9.795 c=8.963 alpha=90.00 beta=102.44 gamma=90.00
Space group C2/c (No. 15)
One atom of each set of equivalent atoms:
Tb  0.124  0.248  0.125 [8 per cell]
Nd  0.000  0.406  0.750 [4 per cell]
Dy  0.000  0.073  0.750 [4 per cell]
Dy  0.243  0.417  0.494 [8 per cell]

[8]
Computed, not measured: Tb8Nd2Dy after structural relaxation at the GGA-PBE level of DFT.

* M_tot: 0.0 μB/cell
* relative energy among the computed polymorphs: 0 meV/atom

Unit cell a=18.248 b=5.063 c=8.012 alpha=90.00 beta=105.31 gamma=90.00
Space group C2/m (No. 12)
One atom of each set of equivalent atoms:
Tb  0.045  0.000  0.228 [4 per cell]
Tb  0.090  0.500  0.953 [4 per cell]
Tb  0.135  0.000  0.678 [4 per cell]
Tb  0.181  0.500  0.408 [4 per cell]
Nd  0.227  0.000  0.137 [4 per cell]
Dy  0.000  0.500  0.500 [2 per cell]